[1]
Compound: Cs4Pd4Pt
Source: Alexandria via LeMat-Bulk
Functional: PBE
Structure: optimized geometry

Its formation energy is 3.0 eV/f.u.

The structure belongs to space group I-42m (No. 121); the cell edges are 6.978, 6.978 and 14.107 Å and the angles 90.00°, 90.00° and 90.00°. Symmetry generates all atoms from Cs at (0.196, 0.196, 0.383), Pd at (0.139, 0.139, 0.160) and Pt at (0.000, 0.000, 0.000).



[2]
Compound: LiLaS3
Source: Alexandria via LeMat-Bulk
Functional: PBE
Structure: optimized geometry

For the raw total energy, the calculation gives -4.48 eV/atom.

The structure belongs to space group Pm-3m (No. 221); the cell edges are 5.531, 5.531 and 5.531 Å and the angles 90.00°, 90.00° and 90.00°. Symmetry generates all atoms from Li at (0.000, 0.000, 0.000), La at (0.500, 0.500, 0.500) and S at (0.000, 0.500, 0.500).



[3]
Compound: Ta4NiSe
Source: Alexandria via LeMat-Bulk
Functional: PBE
Structure: optimized geometry

For the raw total energy, the calculation gives -8.71 eV/atom.

The structure belongs to space group F-43m (No. 216); the cell edges are 7.684, 7.684 and 7.684 Å and the angles 90.00°, 90.00° and 90.00°. Symmetry generates all atoms from Ta at (0.124, 0.124, 0.124), Ni at (0.250, 0.250, 0.750) and Se at (0.000, 0.000, 0.500).



[4]
Compound: LiCeTmCd
Source: Alexandria via LeMat-Bulk
Functional: PBE
Structure: optimized geometry

Its formation energy is 0.0 eV/f.u.

The structure belongs to space group F-43m (No. 216); the cell edges are 7.477, 7.477 and 7.477 Å and the angles 90.00°, 90.00° and 90.00°. Symmetry generates all atoms from Li at (0.000, 0.000, 0.000), Ce at (0.250, 0.250, 0.250), Tm at (0.250, 0.250, 0.750) and Cd at (0.000, 0.000, 0.500).



[5]
Compound: Sc2TcB
Source: Alexandria via LeMat-Bulk
Functional: PBE
Structure: optimized geometry

Its formation energy is 0.4 eV/f.u.

The structure belongs to space group I-42d (No. 122); the cell edges are 8.705, 8.705 and 4.055 Å and the angles 90.00°, 90.00° and 90.00°. Symmetry generates all atoms from Sc at (0.098, 0.250, 0.125), Tc at (0.000, 0.000, 0.500) and B at (0.000, 0.000, 0.000).



[6]
Compound: Na2CaAlGe2
Source: Alexandria via LeMat-Bulk
Functional: PBE
Structure: optimized geometry

Its formation energy is -1.7 eV/f.u.

The structure belongs to space group Pmc2_1 (No. 26); the cell edges are 4.382, 8.653 and 7.449 Å and the angles 90.00°, 90.00° and 90.00°. Symmetry generates all atoms from Na at (0.000, 0.081, 0.000), Na at (0.500, 0.160, 0.317), Ca at (0.500, 0.443, 0.976), Al at (0.000, 0.325, 0.630), Ge at (0.000, 0.388, 0.268) and Ge at (0.500, 0.174, 0.709).



[7]
Compound: Li2MgTc
Source: Alexandria via LeMat-Bulk
Functional: PBE
Structure: optimized geometry

Its formation energy is 1.8 eV/f.u.

The structure belongs to space group I4/mmm (No. 139); the cell edges are 3.881, 3.881 and 8.534 Å and the angles 90.00°, 90.00° and 90.00°. Symmetry generates all atoms from Li at (0.000, 0.500, 0.250), Mg at (0.000, 0.000, 0.000) and Tc at (0.000, 0.000, 0.500).



[8]
Compound: VCrPBr
Source: Alexandria via LeMat-Bulk
Functional: PBE
Structure: optimized geometry

For the raw total energy, the calculation gives -6.70 eV/atom.

The structure belongs to space group Cm (No. 8); the cell edges are 12.329, 3.483 and 3.255 Å and the angles 90.00°, 91.76° and 90.00°. Symmetry generates all atoms from V at (0.000, 0.000, 0.000), Cr at (0.153, 0.000, 0.578), P at (0.129, 0.500, 0.078) and Br at (0.372, 0.000, 0.587).



| no. | total magnetization (μB per formula unit) |
| --- | --- |
| 1 | 0.0 |
| 2 | 1.5 |
| 3 | 0.0 |
| 4 | 1.3 |
| 5 | 0.0 |
| 6 | 0.0 |
| 7 | 1.1 |
| 8 | 0.9 |